First-principles (PBE) data for an optimized crystal structure of TlRh2Pb, as listed in the Alexandria database.

a = 4.7306 Å, b = 4.7306 Å, c = 4.7306 Å
α = 60.00°, β = 60.00°, γ = 60.00°
Closest atoms and distances in Å follow each position.
Positions (direct):
Rh  0.2500  0.2500  0.2500  4 Tl 2.90, 4 Pb 2.90
Rh  0.7500  0.7500  0.7500  4 Tl 2.90, 4 Pb 2.90
Pb  0.5000  0.5000  0.5000  8 Rh 2.90
Tl  0.0000  0.0000  0.0000  8 Rh 2.90

Computed properties:
The calculation puts the energy relative to the elements at 89.5 meV/atom. For the density of states at the Fermi level, the calculation gives 3.3 states/eV/cell. The calculation puts the energy at -0.188 hartree per atom. The value obtained for the energy above the lowest structure with this stoichiometry is 7.4 meV/atom. Its total moment is 0.0 μB per formula unit.

***

First-principles (PBE) data for an optimized crystal structure of TlRhPb2, as listed in the Alexandria database.

a = 5.1808 Å, b = 5.1808 Å, c = 5.1808 Å
α = 60.00°, β = 60.00°, γ = 60.00°
Closest atoms and distances in Å follow each position.
Positions (direct):
Tl  0.5000  0.5000  0.5000  8 Pb 3.17
Pb  0.2500  0.2500  0.2500  4 Tl 3.17, 4 Rh 3.17
Pb  0.7500  0.7500  0.7500  4 Tl 3.17, 4 Rh 3.17
Rh  0.0000  0.0000  0.0000  8 Pb 3.17

Computed properties:
The calculation puts the energy relative to the elements at 231.8 meV/atom. For the density of states at the Fermi level, the calculation gives 1.6 states/eV/cell. The calculation puts the energy at -0.149 hartree per atom. Its total moment is 0.0 μB per formula unit.

***

First-principles (PBE) data for an optimized crystal structure of TlRh2Pb, as listed in the Alexandria database.

a = 8.1982 Å, b = 8.1982 Å, c = 8.1982 Å
α = 23.86°, β = 23.86°, γ = 23.86°
Closest atoms and distances in Å follow each position.
Positions (direct):
Tl  0.5000  0.5000  0.5000  6 Rh 2.81
Rh  0.7490  0.7490  0.7490  3 Pb 2.77, 3 Tl 2.81
Rh  0.2510  0.2510  0.2510  3 Pb 2.77, 3 Tl 2.81
Pb  0.0000  0.0000  0.0000  6 Rh 2.77

Computed properties:
The calculation puts the energy relative to the elements at 130.9 meV/atom. For the density of states at the Fermi level, the calculation gives 1.1 states/eV/cell. The calculation puts the energy at -0.186 hartree per atom. The value obtained for the energy above the lowest structure with this stoichiometry is 48.7 meV/atom. Its total moment is 0.0 μB per formula unit.

***

First-principles (PBE) data for an optimized crystal structure of TlRh2Pb2, as listed in the Alexandria database.

a = 3.9440 Å, b = 3.9440 Å, c = 8.6444 Å
α = 76.81°, β = 76.81°, γ = 90.00°
Closest atoms and distances in Å follow each position.
Positions (direct):
Rh  0.7500  0.2500  0.5000  4 Pb 2.75, 4 Rh 2.79
Rh  0.2500  0.7500  0.5000  4 Pb 2.75, 4 Rh 2.79
Pb  0.3674  0.3674  0.2652  4 Rh 2.75
Pb  0.6326  0.6326  0.7348  4 Rh 2.75
Tl  0.0000  0.0000  0.0000  8 Pb 3.53, 4 Tl 3.94

Computed properties:
The calculation puts the energy relative to the elements at 118.0 meV/atom. For the density of states at the Fermi level, the calculation gives 3.5 states/eV/cell. The calculation puts the energy at -0.176 hartree per atom. The value obtained for the energy above the lowest structure with this stoichiometry is 142.9 meV/atom. Its total moment is 0.0 μB per formula unit.

***

First-principles (PBE) data for an optimized crystal structure of TlRh2Pb2, as listed in the Alexandria database.

a = 3.3513 Å, b = 7.5409 Å, c = 5.3102 Å
α = 67.09°, β = 71.67°, γ = 77.14°
Closest atoms and distances in Å follow each position.
Positions (direct):
Rh  0.0351  0.1857  0.2445  2 Tl 2.77-2.78, 5 Pb 2.80-2.94, 1 Rh 3.04
Rh  0.9649  0.8143  0.7555  2 Tl 2.77-2.78, 5 Pb 2.80-2.94, 1 Rh 3.04
Tl  0.5000  0.5000  0.0000  4 Rh 2.77-2.78
Pb  0.6791  0.8466  0.2952  5 Rh 2.80-2.94
Pb  0.3209  0.1533  0.7048  5 Rh 2.80-2.94

Computed properties:
The calculation puts the energy relative to the elements at -24.8 meV/atom. For the density of states at the Fermi level, the calculation gives 3.6 states/eV/cell. The calculation puts the energy at -0.181 hartree per atom. The value obtained for the energy above the lowest structure with this stoichiometry is 0.0 meV/atom. Its total moment is 0.0 μB per formula unit.

***

First-principles (PBE) data for an optimized crystal structure of TlRhPb2, as listed in the Alexandria database.

a = 9.0799 Å, b = 9.0799 Å, c = 9.0799 Å
α = 23.84°, β = 23.84°, γ = 23.84°
Closest atoms and distances in Å follow each position.
Positions (direct):
Tl  0.0000  0.0000  0.0000  6 Pb 3.45, 6 Tl 3.75
Rh  0.5000  0.5000  0.5000  6 Pb 2.77
Pb  0.7682  0.7682  0.7682  3 Rh 2.77
Pb  0.2318  0.2318  0.2318  3 Rh 2.77

Computed properties:
The calculation puts the energy relative to the elements at 51.1 meV/atom. For the density of states at the Fermi level, the calculation gives 3.1 states/eV/cell. The calculation puts the energy at -0.156 hartree per atom. Its total moment is 0.0 μB per formula unit.

***

First-principles (PBE) data for an optimized crystal structure of Tl2RhPb4, as listed in the Alexandria database.

a = 3.3912 Å, b = 6.8272 Å, c = 9.7911 Å
α = 115.03°, β = 90.00°, γ = 90.00°
Closest atoms and distances in Å follow each position.
Positions (direct):
Pb  0.0000  0.8330  0.1703  1 Rh 2.78
Pb  0.0000  0.3099  0.8298  1 Rh 2.78
Pb  0.5000  0.7547  0.8106  2 Rh 2.76
Pb  0.5000  0.3882  0.1895  2 Rh 2.76
Rh  0.0000  0.0715  0.0001  6 Pb 2.76-2.78
Tl  0.5000  0.3059  0.5005  3 Tl 3.20-3.39, 2 Pb 3.28-3.32
Tl  0.5000  0.8370  0.4996  3 Tl 3.20-3.39, 2 Pb 3.28-3.32

Computed properties:
The calculation puts the energy relative to the elements at 43.2 meV/atom. For the density of states at the Fermi level, the calculation gives 3.6 states/eV/cell. The calculation puts the energy at -0.140 hartree per atom. Its total moment is 0.0 μB per formula unit.

***

First-principles (PBE) data for an optimized crystal structure of TlRh2Pb2, as listed in the Alexandria database.

a = 4.7036 Å, b = 4.7036 Å, c = 6.4355 Å
α = 68.56°, β = 68.56°, γ = 90.00°
Closest atoms and distances in Å follow each position.
Positions (direct):
Rh  0.6144  0.6144  0.7712  1 Rh 2.52, 4 Pb 2.79
Rh  0.3856  0.3856  0.2288  1 Rh 2.52, 4 Pb 2.79
Pb  0.2500  0.7500  0.5000  4 Rh 2.79
Pb  0.7500  0.2500  0.5000  4 Rh 2.79
Tl  0.0000  0.0000  0.0000  8 Rh 3.56, 8 Pb 3.62

Computed properties:
The calculation puts the energy relative to the elements at 211.7 meV/atom. For the density of states at the Fermi level, the calculation gives 3.8 states/eV/cell. The calculation puts the energy at -0.172 hartree per atom. The value obtained for the energy above the lowest structure with this stoichiometry is 236.5 meV/atom. Its total moment is 0.0 μB per formula unit.

***

First-principles (PBE) data for an optimized crystal structure of TlRhPb2, as listed in the Alexandria database.

a = 5.3149 Å, b = 5.3149 Å, c = 3.5534 Å
α = 90.00°, β = 90.00°, γ = 101.14°
Closest atoms and distances in Å follow each position.
Positions (direct):
Tl  0.5000  0.5000  0.5000  8 Pb 3.20, 2 Rh 3.38, 2 Tl 3.55
Pb  0.5000  0.0000  0.0000  4 Rh 3.20, 4 Tl 3.20, 4 Pb 3.38-3.55
Pb  0.0000  0.5000  0.0000  4 Tl 3.20, 4 Rh 3.20, 4 Pb 3.38-3.55
Rh  0.0000  0.0000  0.5000  8 Pb 3.20, 2 Tl 3.38, 2 Rh 3.55

Computed properties:
The calculation puts the energy relative to the elements at 296.3 meV/atom. For the density of states at the Fermi level, the calculation gives 3.3 states/eV/cell. The calculation puts the energy at -0.147 hartree per atom. Its total moment is 0.0 μB per formula unit.

***

First-principles (PBE) data for an optimized crystal structure of TlRhPb2, as listed in the Alexandria database.

a = 7.2525 Å, b = 7.2525 Å, c = 7.2525 Å
α = 153.78°, β = 142.34°, γ = 46.46°
Closest atoms and distances in Å follow each position.
Positions (direct):
Tl  0.2500  0.7500  0.5000  4 Rh 2.86
Pb  0.5668  0.5668  0.0000  2 Rh 2.94, 2 Pb 3.29
Pb  0.9332  0.9332  0.0000  2 Rh 2.94, 2 Pb 3.29
Rh  0.7500  0.2500  0.5000  4 Tl 2.86, 4 Pb 2.94

Computed properties:
The calculation puts the energy relative to the elements at 36.2 meV/atom. For the density of states at the Fermi level, the calculation gives 2.1 states/eV/cell. The calculation puts the energy at -0.156 hartree per atom. Its total moment is 0.0 μB per formula unit.

***

First-principles (PBE) data for an optimized crystal structure of Tl2RhPbW, as listed in the Alexandria database.

a = 5.3368 Å, b = 5.3198 Å, c = 5.3368 Å
α = 90.00°, β = 90.00°, γ = 90.00°
Closest atoms and distances in Å follow each position.
Positions (direct):
Rh  0.5000  0.5000  0.5000  8 Tl 3.77, 4 Pb 3.77
W  0.0000  0.0000  0.0000  2 Pb 2.66, 4 Tl 2.67
Tl  0.0000  0.0000  0.5000  2 W 2.67
Tl  0.5000  0.0000  0.0000  2 W 2.67
Pb  0.0000  0.5000  0.0000  2 W 2.66

Computed properties:
The calculation puts the energy relative to the elements at 1349.9 meV/atom. For the density of states at the Fermi level, the calculation gives 7.8 states/eV/cell. The calculation puts the energy at -0.162 hartree per atom. Its total moment is 1.8 μB per formula unit.

***

First-principles (PBE) data for an optimized crystal structure of Tm4RhPb, as listed in the Alexandria database.

a = 5.9825 Å, b = 8.5665 Å, c = 7.9855 Å
α = 115.12°, β = 102.38°, γ = 107.37°
Closest atoms and distances in Å follow each position.
Positions (direct):
Rh  0.2502  0.0002  0.0003  8 Tm 2.84-2.93, 2 Rh 2.99
Rh  0.7498  0.9998  0.9997  8 Tm 2.84-2.93, 2 Rh 2.99
Tm  0.9463  0.7910  0.1457  2 Rh 2.89-2.93, 1 Pb 3.22
Tm  0.6241  0.0572  0.3377  2 Rh 2.84-2.85
Tm  0.6994  0.3547  0.1457  2 Rh 2.89-2.93, 1 Pb 3.22
Tm  0.0537  0.2090  0.8543  2 Rh 2.89-2.93, 1 Pb 3.22
Tm  0.3006  0.6453  0.8543  2 Rh 2.89-2.93, 1 Pb 3.22
Tm  0.7864  0.7195  0.6623  2 Rh 2.84-2.85
Tm  0.2136  0.2805  0.3377  2 Rh 2.84-2.85
Tm  0.3759  0.9428  0.6623  2 Rh 2.84-2.85
Pb  0.6215  0.3715  0.7430  8 Tm 3.22-3.41
Pb  0.3785  0.6285  0.2570  8 Tm 3.22-3.41

Computed properties:
The calculation puts the energy relative to the elements at -530.3 meV/atom. For the density of states at the Fermi level, the calculation gives 10.5 states/eV/cell. The calculation puts the energy at -0.197 hartree per atom. The value obtained for the energy above the lowest structure with this stoichiometry is 0.0 meV/atom. Its total moment is 0.0 μB per formula unit.

***

First-principles (PBE) data for an optimized crystal structure of Tm2Rh3Pb3, as listed in the Alexandria database.

a = 6.3166 Å, b = 8.0770 Å, c = 8.0770 Å
α = 60.00°, β = 90.00°, γ = 90.00°
Closest atoms and distances in Å follow each position.
Positions (direct):
Rh  0.7500  0.0000  0.6084  3 Pb 2.79-2.80, 4 Tm 2.95
Rh  0.7500  0.6084  0.3916  3 Pb 2.79-2.80, 4 Tm 2.95
Rh  0.2500  0.0000  0.3916  3 Pb 2.79-2.80, 4 Tm 2.95
Rh  0.2500  0.3916  0.6084  3 Pb 2.79-2.80, 4 Tm 2.95
Rh  0.7500  0.3916  0.0000  3 Pb 2.79-2.80, 4 Tm 2.95
Rh  0.2500  0.6084  0.0000  3 Pb 2.79-2.80, 4 Tm 2.95
Tm  0.5000  0.3333  0.3333  6 Rh 2.95, 2 Tm 3.16
Tm  0.5000  0.6667  0.6667  6 Rh 2.95, 2 Tm 3.16
Tm  0.0000  0.3333  0.3333  6 Rh 2.95, 2 Tm 3.16
Tm  0.0000  0.6667  0.6667  6 Rh 2.95, 2 Tm 3.16
Pb  0.7500  0.2620  0.7380  3 Rh 2.79-2.80
Pb  0.2500  0.7380  0.2620  3 Rh 2.79-2.80
Pb  0.2500  0.0000  0.7380  3 Rh 2.79-2.80
Pb  0.7500  0.0000  0.2620  3 Rh 2.79-2.80
Pb  0.2500  0.2620  0.0000  3 Rh 2.79-2.80
Pb  0.7500  0.7380  0.0000  3 Rh 2.79-2.80

Computed properties:
The calculation puts the energy relative to the elements at -430.5 meV/atom. For the density of states at the Fermi level, the calculation gives 10.9 states/eV/cell. The calculation puts the energy at -0.209 hartree per atom. Its total moment is 0.0 μB per formula unit.

***

First-principles (PBE) data for an optimized crystal structure of Tm3Rh2Pb3, as listed in the Alexandria database.

a = 3.7596 Å, b = 6.3285 Å, c = 17.3553 Å
α = 90.00°, β = 90.00°, γ = 107.28°
Closest atoms and distances in Å follow each position.
Positions (direct):
Tm  0.9384  0.8769  0.3982  2 Rh 2.74
Tm  0.0616  0.1231  0.6018  2 Rh 2.74
Tm  0.2852  0.5703  0.7500  4 Rh 2.91
Tm  0.0616  0.1231  0.8982  2 Rh 2.74
Tm  0.7148  0.4297  0.2500  4 Rh 2.91
Tm  0.9384  0.8769  0.1018  2 Rh 2.74
Pb  0.6496  0.2991  0.0468  2 Rh 2.83
Pb  0.3504  0.7009  0.5468  2 Rh 2.83
Pb  0.5568  0.1137  0.7500  2 Rh 2.89, 4 Tm 3.19
Pb  0.6496  0.2991  0.4532  2 Rh 2.83
Pb  0.4432  0.8863  0.2500  2 Rh 2.89, 4 Tm 3.19
Pb  0.3504  0.7009  0.9532  2 Rh 2.83
Rh  0.7217  0.4434  0.8703  4 Tm 2.74-2.91, 3 Pb 2.83-2.89
Rh  0.2783  0.5566  0.3703  4 Tm 2.74-2.91, 3 Pb 2.83-2.89
Rh  0.7217  0.4434  0.6297  4 Tm 2.74-2.91, 3 Pb 2.83-2.89
Rh  0.2783  0.5566  0.1297  4 Tm 2.74-2.91, 3 Pb 2.83-2.89

Computed properties:
The calculation puts the energy relative to the elements at -526.0 meV/atom. For the density of states at the Fermi level, the calculation gives 8.2 states/eV/cell. The calculation puts the energy at -0.200 hartree per atom. Its total moment is 0.0 μB per formula unit.